[1]
GaCu2Au | PBE | relaxed

It has space group Cm (No. 8), with a = 8.656 Å, b = 3.839 Å, c = 3.840 Å, α = 90.00°, β = 115.65° and γ = 90.00°. The inequivalent atoms are Ga at (0.000, 0.000, 0.000), Cu at (0.000, 0.500, 0.496), Cu at (0.250, 0.500, 0.248) and Au at (0.250, 0.000, 0.749).

The formation energy from the elements is -109 meV/atom. The value obtained for the electronic total energy is -3.73 eV per atom.

[2]
GaCuAu | PBE | relaxed

It has space group Ama2 (No. 40), with a = 5.278 Å, b = 6.394 Å, c = 6.410 Å, α = 90.00°, β = 90.00° and γ = 90.00°. The inequivalent atoms are Ga at (0.250, 0.250, 0.000), Cu at (0.000, 0.000, 0.250) and Au at (0.250, 0.250, 0.500).

The formation energy from the elements is -89 meV/atom. The value obtained for the electronic total energy is -3.56 eV per atom. The value obtained for the relative energy among the computed polymorphs is 33 meV per atom.

[3]
Ga2Cu5Au2 | PBE | relaxed

It has space group P-1 (No. 2), with a = 4.994 Å, b = 5.090 Å, c = 6.412 Å, α = 87.94°, β = 67.96° and γ = 62.45°. The inequivalent atoms are Ga at (0.053, 0.151, 0.187), Cu at (0.390, 0.377, 0.898), Cu at (0.464, 0.863, 0.775), Cu at (0.500, 0.500, 0.500) and Au at (0.026, 0.300, 0.660).

The formation energy from the elements is -39 meV/atom. The value obtained for the electronic total energy is -3.72 eV per atom. The value obtained for the relative energy among the computed polymorphs is 0 meV per atom.

[4]
Ga2CuAu2 | PBE | relaxed

It has space group P4/mbm (No. 127), with a = 7.036 Å, b = 7.036 Å, c = 3.613 Å, α = 90.00°, β = 90.00° and γ = 90.00°. The inequivalent atoms are Ga at (0.156, 0.344, 0.000), Cu at (0.000, 0.000, 0.500) and Au at (0.152, 0.652, 0.500).

The formation energy from the elements is -5 meV/atom. The value obtained for the electronic total energy is -3.35 eV per atom. The value obtained for the relative energy among the computed polymorphs is 140 meV per atom.

[5]
GaCu3Au7 | PBE | relaxed

It has space group C2/m (No. 12), with a = 9.491 Å, b = 9.677 Å, c = 4.855 Å, α = 90.00°, β = 120.30° and γ = 90.00°. The inequivalent atoms are Ga at (0.000, 0.000, 0.000), Cu at (0.000, 0.271, 0.500), Cu at (0.000, 0.500, 0.000), Au at (0.000, 0.000, 0.500), Au at (0.172, 0.275, 0.173) and Au at (0.178, 0.500, 0.670).

The formation energy from the elements is 37 meV/atom. The value obtained for the electronic total energy is -3.44 eV per atom.

[6]
Ga4Cu4Au3 | PBE | relaxed

It has space group P1 (No. 1), with a = 3.075 Å, b = 4.336 Å, c = 13.159 Å, α = 99.07°, β = 96.33° and γ = 90.04°. The inequivalent atoms are Ga at (0.000, 0.000, 0.000), Ga at (0.164, 0.175, 0.344), Ga at (0.342, 0.349, 0.696), Ga at (0.809, 0.820, 0.637), Cu at (0.108, 0.614, 0.225), Cu at (0.408, 0.906, 0.810), Cu at (0.523, 0.529, 0.052), Cu at (0.746, 0.263, 0.525), Au at (0.206, 0.728, 0.453), Au at (0.584, 0.089, 0.175) and Au at (0.942, 0.439, 0.877).

The formation energy from the elements is -68 meV/atom. The value obtained for the electronic total energy is -3.55 eV per atom.